Compound: MgZn2Cd
Source: the Alexandria database
Functional: PBE-GGA
Structure: relaxed

abc: 4.9176 4.9176 5.1586
angles: 81.50 81.50 37.45
Atoms (fractional coordinates):
Zn (0.9978, 0.9978, 0.0104)
Zn (0.5022, 0.5022, 0.4896)
Cd (0.7500, 0.7500, 0.7500)
Mg (0.2500, 0.2500, 0.2500)

Calculated values
The calculation puts the density at 5.93 g/cm³. The calculation puts the magnetic moment at 0.000 Bohr magnetons per cell. The value obtained for the polymorph energy (0 for the lowest one) is 35 meV per atom. As for the raw total energy: -1.263 eV per atom. Its space-group type is C2/m (12). For the formation enthalpy at 0 K, the calculation gives 0.001 eV/atom.